! Sc2CdRuC (GGA-PBE, relaxed); values from VASP
! Density of states at the Fermi level (states/eV/atom): 0.308
! E_tot (eV per atom): -6.87
&SYSTEM
  ibrav = 0, nat = 5, ntyp = 4
/
ATOMIC_SPECIES
Sc 44.96 Sc.upf
Cd 112.41 Cd.upf
Ru 101.07 Ru.upf
C 12.01 C.upf
CELL_PARAMETERS angstrom
4.634 0.000 0.000
0.000 4.634 0.000
0.000 0.000 3.927
ATOMIC_POSITIONS crystal
Sc 0.000 0.500 0.000
Sc 0.500 0.000 0.000
Cd 0.000 0.000 0.500
Ru 0.500 0.500 0.500
C 0.500 0.500 0.000